Entry 1:
The following is a DFT calculation (meta-GGA SCAN) of Sc3Cd at its PBEsol-relaxed geometry.

## Properties
The calculation puts the energy above the lowest structure with this stoichiometry at 0.322 eV per formula unit. The value obtained for the magnetic moment is 1.235 μB/cell. Its formation energy is -0.6 eV per formula unit. As for the space group: I4/mmm.

Lattice parameters (Å, degrees): 4.4223 4.4223 5.4762 113.81 113.81 90.00
Site moments in Bohr magnetons follow the coordinates.
Atoms (fractional coordinates):
Cd 0.0000 0.0000 0.0000  0.00
Sc 0.2500 0.7500 0.5000  0.27
Sc 0.5000 0.5000 0.0000  0.23
Sc 0.7500 0.2500 0.5000  0.27

---

Entry 2:
The following is a DFT calculation (meta-GGA SCAN) of Sc3Cd at its PBEsol-relaxed geometry.

## Properties
The calculation puts the energy above the lowest structure with this stoichiometry at 0.072 eV per formula unit. The value obtained for the magnetic moment is 0.000 μB/cell. Its formation energy is -0.8 eV per formula unit. As for the space group: Immm.

Lattice parameters (Å, degrees): 3.5427 4.8536 5.9801 113.94 107.23 90.00
Atoms (fractional coordinates):
Sc 0.2703 0.2703 0.5405
Sc 0.7297 0.7297 0.4595
Sc 0.5000 0.0000 0.0000
Cd 0.0000 0.5000 0.0000

---

Entry 3:
The following is a DFT calculation (meta-GGA SCAN) of Sc4Cd5 at its PBEsol-relaxed geometry.

## Properties
The calculation puts the energy above the lowest structure with this stoichiometry at 0.301 eV per formula unit. The value obtained for the magnetic moment is 0.004 μB/cell. Its formation energy is -2.4 eV per formula unit. As for the space group: I4/mmm.

Lattice parameters (Å, degrees): 4.5976 6.8338 6.8338 83.50 70.34 70.34
Atoms (fractional coordinates):
Sc 0.0000 0.6730 0.3270
Sc 0.0000 0.3270 0.6730
Sc 0.3270 0.6730 0.6730
Sc 0.6730 0.3270 0.3270
Cd 0.6667 0.6665 0.0000
Cd 0.0000 0.0000 0.0000
Cd 0.6667 0.0000 0.6665
Cd 0.3333 0.3335 0.0000
Cd 0.3333 0.0000 0.3335

---

Entry 4:
The following is a DFT calculation (meta-GGA SCAN) of Sc3Cd at its PBEsol-relaxed geometry.

## Properties
The calculation puts the energy above the lowest structure with this stoichiometry at 0.161 eV per formula unit. The value obtained for the magnetic moment is 1.846 μB/cell. Its formation energy is -0.7 eV per formula unit. As for the space group: P4/mmm.

Lattice parameters (Å, degrees): 3.2375 3.2375 8.5321 90.00 90.00 90.00
Site moments in Bohr magnetons follow the coordinates.
Atoms (fractional coordinates):
Cd 0.0000 0.0000 0.0000  0.01
Sc 0.5000 0.5000 0.2380  0.33
Sc 0.5000 0.5000 0.7620  0.33
Sc 0.0000 0.0000 0.5000  0.49

---

Entry 5:
The following is a DFT calculation (meta-GGA SCAN) of Sc5Cd at its PBEsol-relaxed geometry.

## Properties
The calculation puts the energy above the lowest structure with this stoichiometry at 0.183 eV per formula unit. The value obtained for the magnetic moment is 1.077 μB/cell. Its formation energy is -0.5 eV per formula unit. As for the space group: Amm2.

Lattice parameters (Å, degrees): 3.2801 5.0092 8.4304 90.00 101.22 90.00
Site moments in Bohr magnetons follow the coordinates.
Atoms (fractional coordinates):
Sc 0.8874 0.5000 0.7748  0.14
Sc 0.5484 0.5000 0.0967  0.16
Sc 0.6706 0.0000 0.3413  0.16
Sc 0.2228 0.5000 0.4455  0.03
Sc 0.3372 0.0000 0.6744  0.14
Cd 0.0003 0.0000 0.0006  0.01

---

Entry 6:
The following is a DFT calculation (meta-GGA SCAN) of Sc3Cd at its PBEsol-relaxed geometry.

## Properties
The calculation puts the energy above the lowest structure with this stoichiometry at 0.412 eV per formula unit. The value obtained for the magnetic moment is 0.257 μB/cell. Its formation energy is -0.5 eV per formula unit. As for the space group: Cmmm.

Lattice parameters (Å, degrees): 3.3403 5.2640 5.2640 104.87 90.00 90.00
Site moments in Bohr magnetons follow the coordinates.
Atoms (fractional coordinates):
Cd 0.0000 0.0000 0.0000  0.00
Sc 0.5000 0.0000 0.5000  0.06
Sc 0.5000 0.5000 0.0000  0.06
Sc 0.0000 0.5000 0.5000  0.05

---

Entry 7:
The following is a DFT calculation (meta-GGA SCAN) of ScCdSe2 at its PBEsol-relaxed geometry.

## Properties
The uncorrected formation energy comes out at -1145.3 meV/atom. The value obtained for the magnetic moment is 0.000 μB/cell. As for the space group: P4mm.

Lattice parameters (Å, degrees): 3.8998 3.8998 5.6630 90.00 90.00 90.00
Atoms (fractional coordinates):
Cd 0.0000 0.0000 0.3740
Se 0.0000 0.0000 0.8746
Se 0.5000 0.5000 0.3757
Sc 0.5000 0.5000 0.8758

---

Entry 8:
The following is a DFT calculation (meta-GGA SCAN) of ScCdSe2 at its PBEsol-relaxed geometry.

## Properties
The uncorrected formation energy comes out at -868.6 meV/atom. The value obtained for the magnetic moment is 0.000 μB/cell. As for the space group: R3m.

Lattice parameters (Å, degrees): 4.0809 4.0809 7.4616 74.13 74.13 60.00
Atoms (fractional coordinates):
Se 0.0274 0.0274 0.9179
Se 0.2209 0.2209 0.3374
Cd 0.5051 0.5051 0.4846
Sc 0.7466 0.7466 0.7601

---

> Which of these has the highest magnetic moment?

number 4